No. 1
Entry from Alexandria via LeMat-Bulk: a relaxed BaReAs2 crystal (GGA-PBE).

```
4
Lattice="6.003 0.006 0.001 1.716 5.752 -0.001 -2.621 -4.539 2.926" Properties=species:S:1:pos:R:3 pbc="T T T"
Re 1.477 2.046 1.462
As 0.444 0.332 0.000
As 3.415 2.547 0.000
Ba 3.620 -0.827 1.464
```

The total energy is -23.860 eV per cell. For the relative energy among the computed polymorphs, the calculation gives 0.2096 eV/atom.

***

No. 2
Entry from Alexandria via LeMat-Bulk: a relaxed SmNi5Ge2 crystal (GGA-PBE).

```
8
Lattice="-3.060 2.098 0.101 -4.395 -2.991 -2.837 -3.889 -2.574 3.815" Properties=species:S:1:pos:R:3 pbc="T T T"
Ni -5.029 -0.730 -0.819
Ni -6.502 -2.891 -0.572
Ni -4.842 -0.575 1.651
Ni -4.142 -2.782 0.489
Ni -6.315 -2.736 1.899
Ge -2.848 -0.884 0.272
Ge -8.496 -2.583 0.807
Sm 0.000 0.000 0.000
```

The total energy is -46.296 eV per cell.

***

No. 3
Entry from Alexandria via LeMat-Bulk: a relaxed Pr2TlI2 crystal (GGA-PBE).

```
10
Lattice="6.235 0.000 0.000 3.118 7.061 0.126 3.118 2.396 8.444" Properties=species:S:1:pos:R:3 pbc="T T T"
Pr 3.118 2.815 3.634
Pr 6.235 3.875 5.844
Pr 6.235 5.583 2.726
Pr 9.353 6.642 4.936
I 9.353 3.890 6.717
I 3.118 5.568 1.853
I 6.235 2.323 2.948
I 6.235 7.135 5.622
Tl 9.353 8.100 7.810
Tl 3.118 1.357 0.760
```

The total energy is -36.652 eV per cell. For the relative energy among the computed polymorphs, the calculation gives 0.2910 eV/atom. The formation energy from raw total energies comes out at -3.3 eV per formula unit.

***

No. 4
Entry from Alexandria via LeMat-Bulk: a relaxed MnRu2AuN crystal (GGA-PBE).

```
5
Lattice="4.061 0.000 0.000 0.000 4.061 0.000 0.000 0.000 4.014" Properties=species:S:1:pos:R:3 pbc="T T T"
Ru 0.000 2.031 0.000
Ru 2.031 0.000 0.000
N 0.000 0.000 0.000
Au 2.031 2.031 2.007
Mn 0.000 0.000 2.007
```

The total energy is -38.738 eV per cell. The formation energy from raw total energies comes out at 0.6 eV per formula unit.

***

No. 5
Entry from Alexandria via LeMat-Bulk: a relaxed Pm3Y3Cd crystal (GGA-PBE).

```
14
Lattice="5.612 0.000 0.000 0.000 9.535 0.001 0.000 -4.771 8.261" Properties=species:S:1:pos:R:3 pbc="T T T"
Pm 4.209 5.489 0.889
Pm 4.209 2.789 3.063
Pm 1.403 1.974 5.199
Pm 1.403 -0.726 7.373
Pm 1.403 -1.258 3.946
Pm 4.209 6.021 4.316
Y 4.209 -2.767 7.761
Y 4.209 3.326 6.775
Y 1.403 1.438 1.487
Y 4.209 -0.569 1.987
Y 1.403 7.530 0.500
Y 1.403 5.333 6.274
Cd 1.403 4.767 2.754
Cd 4.209 -0.004 5.507
```

The total energy is -69.622 eV per cell.